# MnClF2

Crystalline MnClF2 at its relaxed geometry (PBE with a Hubbard U, Alexandria).

The structure belongs to space group Fm-3m (No. 225); the cell edges are 6.006, 6.006 and 6.006 Å and the angles 90.00°, 90.00° and 90.00°. The inequivalent atoms are Mn at (0.000, 0.000, 0.000), Cl at (0.000, 0.000, 0.500) and F at (0.250, 0.250, 0.250).

The calculation puts the energy relative to the lowest polymorph listed for this composition at 827.3 meV/atom. The calculation puts the density of states at the Fermi level at 16.3 states/eV per cell.